1.
VASP calculation (GGA-PBE) on a geometry-optimized SrCr2Sb structure.

Summary:
The formation energy (no corrections) comes out at 0.5325 eV per atom. The value obtained for the density is 5.70 g/cm3. The value obtained for the total energy is -22.921 eV per cell. For the size of the total moment, the calculation gives 0.543 μB per atom.

abc: 3.676 3.676 6.755
angles: 90.00 90.00 90.00
Space group P4/mmm (No. 123)
Asymmetric unit:
Sr 0.000 0.000 0.000 [1 per cell]
Cr 0.500 0.500 0.353 [2 per cell]
Sb 0.000 0.000 0.500 [1 per cell]

***

2.
VASP calculation (GGA-PBE) on a geometry-optimized Pm3Ni2Sn4 structure.

Summary:
The value obtained for the density is 7.87 g/cm3. The value obtained for the total energy is -95.420 eV per cell. The formation energy is -63.1 kJ per mole of atoms. For the size of the total moment, the calculation gives 0.000 μB per atom.

abc: 11.437 4.508 8.696
angles: 90.00 104.80 90.00
Space group C2/m (No. 12)
Asymmetric unit:
Pm 0.000 0.000 0.000 [2 per cell]
Pm 0.127 0.500 0.689 [4 per cell]
Ni 0.202 0.500 0.391 [4 per cell]
Sn 0.091 0.000 0.391 [4 per cell]
Sn 0.206 0.500 0.088 [4 per cell]

***

3.
VASP calculation (GGA-PBE) on a geometry-optimized Ce3ZnRu2 structure.

Summary:
The value obtained for the density is 8.57 g/cm3. The value obtained for the total energy is -157.395 eV per cell. The formation energy is -27.7 kJ per mole of atoms. For the size of the total moment, the calculation gives 0.045 μB per atom.

abc: 15.315 4.695 7.665
angles: 90.00 104.77 90.00
Space group C2/m (No. 12)
Asymmetric unit:
Ce 0.080 0.000 0.212 [4 per cell]
Ce 0.098 0.500 0.887 [4 per cell]
Ce 0.232 0.000 0.680 [4 per cell]
Zn 0.083 0.500 0.475 [4 per cell]
Ru 0.060 0.000 0.661 [4 per cell]
Ru 0.199 0.000 0.058 [4 per cell]

***

4.
VASP calculation (GGA-PBE) on a geometry-optimized Sm3DyHo3 structure.

Summary:
The value obtained for the density is 7.75 g/cm3. The value obtained for the total energy is -188.289 eV per cell. The formation energy is 15.3 kJ per mole of atoms. The energy above the most stable polymorph in this dataset comes out at 1.00 eV per formula unit. For the size of the total moment, the calculation gives 0.000 μB per atom.

abc: 6.1952 6.1952 42.8703
angles: 90.00 90.00 120.00
Space group R-3 (No. 148, hexagonal axes)
Asymmetric unit:
Sm 0.0001 0.3311 0.1316 [18 per cell]
Dy 0.0000 0.0000 0.3333 [6 per cell]
Ho 0.0003 0.3332 0.2681 [18 per cell]

***

5.
VASP calculation (GGA-PBE) on a geometry-optimized BaOsW2 structure.

Summary:
The value obtained for the density is 12.61 g/cm3. The value obtained for the total energy is -35.474 eV per cell. The formation energy is 86.5 kJ per mole of atoms. The energy above the most stable polymorph in this dataset comes out at 0.41 eV per formula unit. For the size of the total moment, the calculation gives 0.000 μB per atom.

abc: 3.399 3.399 7.927
angles: 90.00 90.00 90.00
Space group P4/mmm (No. 123)
Asymmetric unit:
Ba 0.000 0.000 0.000 [1 per cell]
Os 0.000 0.000 0.500 [1 per cell]
W 0.500 0.500 0.349 [2 per cell]

***

6.
VASP calculation (GGA-PBE) on a geometry-optimized Ce6Ge2TeAs3 structure.

Summary:
The formation energy (no corrections) comes out at -1.1714 eV per atom. The value obtained for the density is 6.72 g/cm3. The value obtained for the total energy is -151.970 eV per cell. For the size of the total moment, the calculation gives 0.323 μB per atom.

abc: 18.611 4.267 8.560
angles: 90.00 103.34 90.00
Space group C2/m (No. 12)
Asymmetric unit:
Ce 0.001 0.000 0.265 [4 per cell]
Ce 0.167 0.500 0.584 [4 per cell]
Ce 0.172 0.500 0.086 [4 per cell]
Ge 0.167 0.000 0.333 [4 per cell]
Te 0.000 0.500 0.000 [2 per cell]
As 0.000 0.500 0.500 [2 per cell]
As 0.164 0.000 0.833 [4 per cell]